## 1
YEr5Sc | PBE | relaxed

CIF file:
```
data_YEr5Sc
_chemical_formula_sum 'Y4 Er20 Sc4'
_cell_length_a 9.114
_cell_length_b 7.452
_cell_length_c 12.785
_cell_angle_alpha 90.00
_cell_angle_beta 90.00
_cell_angle_gamma 90.00
_symmetry_space_group_name_H-M 'C m c m'
_symmetry_Int_Tables_number 63
_symmetry_space_group_name_Hall '-C 2c 2'
loop_
_atom_site_label
_atom_site_type_symbol
_atom_site_fract_x
_atom_site_fract_y
_atom_site_fract_z
Y1 Y 0.000 0.193 0.250
Er1 Er 0.000 0.400 0.750
Er2 Er 0.202 0.123 0.614
Sc1 Sc 0.000 0.500 0.000
```

***

## 2
YEr5Sc | PBE | relaxed

CIF file:
```
data_YEr5Sc
_chemical_formula_sum 'Y2 Er10 Sc2'
_cell_length_a 8.017
_cell_length_b 11.354
_cell_length_c 5.950
_cell_angle_alpha 90.00
_cell_angle_beta 90.00
_cell_angle_gamma 90.00
_symmetry_space_group_name_H-M 'I m m 2'
_symmetry_Int_Tables_number 44
loop_
_symmetry_equiv_pos_as_xyz
'x,y,z'
'-x,-y,z'
'-x,y,z'
'x,-y,z'
'x+1/2,y+1/2,z+1/2'
'-x+1/2,-y+1/2,z+1/2'
'-x+1/2,y+1/2,z+1/2'
'x+1/2,-y+1/2,z+1/2'
loop_
_atom_site_label
_atom_site_type_symbol
_atom_site_fract_x
_atom_site_fract_y
_atom_site_fract_z
Y1 Y 0.000 0.000 0.000
Er1 Er 0.000 0.000 0.477
Er2 Er 0.000 0.252 0.728
Er3 Er 0.176 0.500 0.229
Sc1 Sc 0.000 0.500 0.729
```

***

In kJ/mol of atoms, relative to the most stable structure: 1 0.0; 2 80.8.

***

## 1
Y8Er2Sc3 | PBE | relaxed

CIF file:
```
data_Y8Er2Sc3
_chemical_formula_sum 'Y16 Er4 Sc6'
_cell_length_a 14.601
_cell_length_b 8.769
_cell_length_c 6.578
_cell_angle_alpha 90.00
_cell_angle_beta 98.65
_cell_angle_gamma 90.00
_symmetry_space_group_name_H-M 'C 1 2/m 1'
_symmetry_Int_Tables_number 12
loop_
_symmetry_equiv_pos_as_xyz
'x,y,z'
'-x,-y,-z'
'-x,y,-z'
'x,-y,z'
'x+1/2,y+1/2,z'
'-x+1/2,-y+1/2,-z'
'-x+1/2,y+1/2,-z'
'x+1/2,-y+1/2,z'
loop_
_atom_site_label
_atom_site_type_symbol
_atom_site_fract_x
_atom_site_fract_y
_atom_site_fract_z
Y1 Y 0.088 0.000 0.384
Y2 Y 0.111 0.184 0.928
Y3 Y 0.193 0.500 0.295
Er1 Er 0.199 0.500 0.787
Sc1 Sc 0.000 0.337 0.500
Sc2 Sc 0.000 0.500 0.000
```

***

## 2
Y8Er2Sc3 | PBE | relaxed

CIF file:
```
data_Y8Er2Sc3
_chemical_formula_sum 'Y16 Er4 Sc6'
_cell_length_a 19.499
_cell_length_b 7.551
_cell_length_c 5.535
_cell_angle_alpha 90.00
_cell_angle_beta 90.02
_cell_angle_gamma 90.00
_symmetry_space_group_name_H-M 'C 1 2/m 1'
_symmetry_Int_Tables_number 12
loop_
_symmetry_equiv_pos_as_xyz
'x,y,z'
'-x,-y,-z'
'-x,y,-z'
'x,-y,z'
'x+1/2,y+1/2,z'
'-x+1/2,-y+1/2,-z'
'-x+1/2,y+1/2,-z'
'x+1/2,-y+1/2,z'
loop_
_atom_site_label
_atom_site_type_symbol
_atom_site_fract_x
_atom_site_fract_y
_atom_site_fract_z
Y1 Y 0.102 0.210 0.000
Y2 Y 0.127 0.500 0.500
Y3 Y 0.168 0.000 0.501
Er1 Er 0.240 0.500 0.999
Sc1 Sc 0.000 0.208 0.500
Sc2 Sc 0.000 0.500 0.000
```

***

In kJ/mol of atoms, relative to the most stable structure: 1 2.1; 2 0.0.

***

## 1
Y2Er7Sc | PBE | relaxed

CIF file:
```
data_Y2Er7Sc
_chemical_formula_sum 'Y4 Er14 Sc2'
_cell_length_a 6.374
_cell_length_b 28.272
_cell_length_c 3.440
_cell_angle_alpha 90.00
_cell_angle_beta 90.00
_cell_angle_gamma 90.00
_symmetry_space_group_name_H-M 'C m m m'
_symmetry_Int_Tables_number 65
_symmetry_space_group_name_Hall '-C 2 2'
loop_
_atom_site_label
_atom_site_type_symbol
_atom_site_fract_x
_atom_site_fract_y
_atom_site_fract_z
Y1 Y 0.000 0.208 0.000
Er1 Er 0.000 0.000 0.000
Er2 Er 0.000 0.316 0.500
Er3 Er 0.245 0.404 0.000
Sc1 Sc 0.000 0.500 0.500
```

***

## 2
Y2Er7Sc | PBE | relaxed

CIF file:
```
data_Y2Er7Sc
_chemical_formula_sum 'Y4 Er14 Sc2'
_cell_length_a 8.155
_cell_length_b 17.686
_cell_length_c 5.131
_cell_angle_alpha 90.00
_cell_angle_beta 90.00
_cell_angle_gamma 90.00
_symmetry_space_group_name_H-M 'C m m m'
_symmetry_Int_Tables_number 65
_symmetry_space_group_name_Hall '-C 2 2'
loop_
_atom_site_label
_atom_site_type_symbol
_atom_site_fract_x
_atom_site_fract_y
_atom_site_fract_z
Y1 Y 0.000 0.234 0.000
Er1 Er 0.000 0.000 0.000
Er2 Er 0.000 0.097 0.500
Er3 Er 0.189 0.403 0.000
Sc1 Sc 0.000 0.500 0.500
```

***

In kJ/mol of atoms, relative to the most stable structure: 1 0.0; 2 48.6.

***

## 1
Y6Er8Sc | PBE | relaxed

CIF file:
```
data_Y6Er8Sc
_chemical_formula_sum 'Y18 Er24 Sc3'
_cell_length_a 8.9687
_cell_length_b 8.9687
_cell_length_c 20.3622
_cell_angle_alpha 90.00
_cell_angle_beta 90.00
_cell_angle_gamma 120.00
_symmetry_space_group_name_H-M 'R -3'
_symmetry_Int_Tables_number 148
_symmetry_space_group_name_Hall '-R 3'
loop_
_atom_site_label
_atom_site_type_symbol
_atom_site_fract_x
_atom_site_fract_y
_atom_site_fract_z
Y1 Y 0.0745 0.2521 0.2078
Er1 Er 0.0000 0.0000 0.0761
Er2 Er 0.0828 0.5527 0.3081
Sc1 Sc 0.0000 0.0000 0.5000
```

***

## 2
Y6Er8Sc | PBE | relaxed

CIF file:
```
data_Y6Er8Sc
_chemical_formula_sum 'Y6 Er8 Sc1'
_cell_length_a 9.7265
_cell_length_b 9.7265
_cell_length_c 5.7388
_cell_angle_alpha 90.00
_cell_angle_beta 90.00
_cell_angle_gamma 120.00
_symmetry_space_group_name_H-M 'P -3'
_symmetry_Int_Tables_number 147
loop_
_symmetry_equiv_pos_as_xyz
'x,y,z'
'-x,-y,-z'
'-y,x-y,z'
'y,-x+y,-z'
'-x+y,-x,z'
'x-y,x,-z'
loop_
_atom_site_label
_atom_site_type_symbol
_atom_site_fract_x
_atom_site_fract_y
_atom_site_fract_z
Y1 Y 0.0918 0.4676 0.2613
Er1 Er 0.0518 0.2695 0.7698
Er2 Er 0.3333 0.6667 0.7682
Sc1 Sc 0.0000 0.0000 0.5000
```

***

In kJ/mol of atoms, relative to the most stable structure: 1 0.0; 2 2.3.

***

## 1
Y2Er4Sc | PBE | relaxed

CIF file:
```
data_Y2Er4Sc
_chemical_formula_sum 'Y8 Er16 Sc4'
_cell_length_a 5.479
_cell_length_b 12.138
_cell_length_c 12.993
_cell_angle_alpha 90.00
_cell_angle_beta 90.00
_cell_angle_gamma 90.00
_symmetry_space_group_name_H-M 'P b c a'
_symmetry_Int_Tables_number 61
loop_
_symmetry_equiv_pos_as_xyz
'x,y,z'
'-x,-y,-z'
'-x+1/2,-y,z+1/2'
'x+1/2,y,-z+1/2'
'x+1/2,-y+1/2,-z'
'-x+1/2,y+1/2,z'
'-x,y+1/2,-z+1/2'
'x,-y+1/2,z+1/2'
loop_
_atom_site_label
_atom_site_type_symbol
_atom_site_fract_x
_atom_site_fract_y
_atom_site_fract_z
Y1 Y 0.001 0.069 0.155
Er1 Er 0.003 0.246 0.925
Er2 Er 0.004 0.147 0.679
Sc1 Sc 0.000 0.000 0.500
```

***

## 2
Y2Er4Sc | PBE | relaxed

CIF file:
```
data_Y2Er4Sc
_chemical_formula_sum 'Y4 Er8 Sc2'
_cell_length_a 6.118
_cell_length_b 6.409
_cell_length_c 11.275
_cell_angle_alpha 90.00
_cell_angle_beta 105.72
_cell_angle_gamma 90.00
_symmetry_space_group_name_H-M 'P 1 21/m 1'
_symmetry_Int_Tables_number 11
loop_
_symmetry_equiv_pos_as_xyz
'x,y,z'
'-x,-y,-z'
'-x,y+1/2,-z'
'x,-y+1/2,z'
loop_
_atom_site_label
_atom_site_type_symbol
_atom_site_fract_x
_atom_site_fract_y
_atom_site_fract_z
Y1 Y 0.119 0.250 0.000
Y2 Y 0.210 0.250 0.576
Er1 Er 0.150 0.003 0.287
Er2 Er 0.359 0.750 0.560
Er3 Er 0.464 0.750 0.133
Sc1 Sc 0.335 0.750 0.837
```

***

In kJ/mol of atoms, relative to the most stable structure: 1 2.9; 2 0.0.

***

## 1
Y2Er5Sc4 | PBE | relaxed

CIF file:
```
data_Y2Er5Sc4
_chemical_formula_sum 'Y2 Er5 Sc4'
_cell_length_a 8.652
_cell_length_b 3.491
_cell_length_c 10.736
_cell_angle_alpha 90.00
_cell_angle_beta 95.23
_cell_angle_gamma 90.00
_symmetry_space_group_name_H-M 'P 1 2/m 1'
_symmetry_Int_Tables_number 10
loop_
_symmetry_equiv_pos_as_xyz
'x,y,z'
'-x,-y,-z'
'-x,y,-z'
'x,-y,z'
loop_
_atom_site_label
_atom_site_type_symbol
_atom_site_fract_x
_atom_site_fract_y
_atom_site_fract_z
Y1 Y 0.075 0.000 0.138
Er1 Er 0.148 0.000 0.633
Er2 Er 0.454 0.000 0.169
Er3 Er 0.500 0.000 0.500
Sc1 Sc 0.202 0.500 0.373
Sc2 Sc 0.251 0.500 0.927
```

***

## 2
Y2Er5Sc4 | PBE | relaxed

CIF file:
```
data_Y2Er5Sc4
_chemical_formula_sum 'Y4 Er10 Sc8'
_cell_length_a 11.825
_cell_length_b 6.553
_cell_length_c 10.123
_cell_angle_alpha 90.00
_cell_angle_beta 125.28
_cell_angle_gamma 90.00
_symmetry_space_group_name_H-M 'C 1 2/m 1'
_symmetry_Int_Tables_number 12
loop_
_symmetry_equiv_pos_as_xyz
'x,y,z'
'-x,-y,-z'
'-x,y,-z'
'x,-y,z'
'x+1/2,y+1/2,z'
'-x+1/2,-y+1/2,-z'
'-x+1/2,y+1/2,-z'
'x+1/2,-y+1/2,z'
loop_
_atom_site_label
_atom_site_type_symbol
_atom_site_fract_x
_atom_site_fract_y
_atom_site_fract_z
Y1 Y 0.072 0.000 0.255
Er1 Er 0.000 0.500 0.000
Er2 Er 0.158 0.232 0.669
Sc1 Sc 0.102 0.500 0.372
Sc2 Sc 0.247 0.000 0.029
```

***

In kJ/mol of atoms, relative to the most stable structure: 1 0.0; 2 7.2.

***

## 1
Y2ErSc3 | PBE | relaxed

CIF file:
```
data_Y2ErSc3
_chemical_formula_sum 'Y4 Er2 Sc6'
_cell_length_a 6.3105
_cell_length_b 6.3105
_cell_length_c 10.2757
_cell_angle_alpha 90.00
_cell_angle_beta 90.00
_cell_angle_gamma 120.00
_symmetry_space_group_name_H-M 'P -3 m 1'
_symmetry_Int_Tables_number 164
_symmetry_space_group_name_Hall '-P 3 2"'
loop_
_atom_site_label
_atom_site_type_symbol
_atom_site_fract_x
_atom_site_fract_y
_atom_site_fract_z
Y1 Y 0.0000 0.0000 0.0000
Y2 Y 0.0000 0.0000 0.5000
Y3 Y 0.3333 0.6667 0.0639
Er1 Er 0.3333 0.6667 0.4376
Sc1 Sc 0.1719 0.3438 0.7489
```

***

## 2
Y2ErSc3 | PBE | relaxed

CIF file:
```
data_Y2ErSc3
_chemical_formula_sum 'Y8 Er4 Sc12'
_cell_length_a 9.663
_cell_length_b 11.068
_cell_length_c 6.875
_cell_angle_alpha 90.00
_cell_angle_beta 111.50
_cell_angle_gamma 90.00
_symmetry_space_group_name_H-M 'C 1 c 1'
_symmetry_Int_Tables_number 9
loop_
_symmetry_equiv_pos_as_xyz
'x,y,z'
'x,-y,z+1/2'
'x+1/2,y+1/2,z'
'x+1/2,-y+1/2,z+1/2'
loop_
_atom_site_label
_atom_site_type_symbol
_atom_site_fract_x
_atom_site_fract_y
_atom_site_fract_z
Y1 Y 0.000 0.236 0.000
Y2 Y 0.157 0.263 0.534
Er1 Er 0.328 0.001 0.267
Sc1 Sc 0.163 0.483 0.236
Sc2 Sc 0.328 0.292 0.017
Sc3 Sc 0.493 0.482 0.798
```

***

In kJ/mol of atoms, relative to the most stable structure: 1 1.6; 2 0.0.

***

## 1
YErZrSc | PBE | relaxed

CIF file:
```
data_YErZrSc
_chemical_formula_sum 'Y2 Er2 Zr2 Sc2'
_cell_length_a 4.761
_cell_length_b 4.761
_cell_length_c 9.533
_cell_angle_alpha 90.00
_cell_angle_beta 90.00
_cell_angle_gamma 90.00
_symmetry_space_group_name_H-M 'I -4 m 2'
_symmetry_Int_Tables_number 119
_symmetry_space_group_name_Hall 'I -4 -2'
loop_
_atom_site_label
_atom_site_type_symbol
_atom_site_fract_x
_atom_site_fract_y
_atom_site_fract_z
Y1 Y 0.000 0.000 0.000
Er1 Er 0.000 0.500 0.750
Zr1 Zr 0.000 0.500 0.250
Sc1 Sc 0.000 0.000 0.500
```

***

## 2
YErZrSc | PBE | relaxed

CIF file:
```
data_YErZrSc
_chemical_formula_sum 'Y4 Er4 Zr4 Sc4'
_cell_length_a 7.587
_cell_length_b 7.587
_cell_length_c 7.587
_cell_angle_alpha 90.00
_cell_angle_beta 90.00
_cell_angle_gamma 90.00
_symmetry_space_group_name_H-M 'F -4 3 m'
_symmetry_Int_Tables_number 216
_symmetry_space_group_name_Hall 'F -4 2 3'
loop_
_atom_site_label
_atom_site_type_symbol
_atom_site_fract_x
_atom_site_fract_y
_atom_site_fract_z
Y1 Y 0.000 0.000 0.000
Er1 Er 0.250 0.250 0.250
Zr1 Zr 0.000 0.000 0.500
Sc1 Sc 0.250 0.250 0.750
```

***

In kJ/mol of atoms, relative to the most stable structure: 1 0.0; 2 10.6.